Record 1
# Pm2Ag

Pm2Ag after structural relaxation (GGA-PBE, Alexandria via LeMat-Bulk).

Output
Total magnetic moment, μB per atom: 0.00
ΔH_f (0 K), eV/f.u.: -0.2
Calculated density, g cm⁻³: 7.4
Polymorph energy (0 for the lowest one), eV/atom: 0.096

Cell lengths 3.736, 6.136, 8.205 Å; angles 87.68, 89.94, 72.28 degrees
Space group P-1 (No. 2)
Asymmetric unit:
Pm (0.080, 0.342, 0.200) x2
Pm (0.363, 0.775, 0.429) x2
Ag (0.208, 0.083, 0.870) x2



Record 2
# PmAg3

PmAg3 after structural relaxation (GGA-PBE, Alexandria via LeMat-Bulk).

Output
Total magnetic moment, μB per atom: 0.00
ΔH_f (0 K), eV/f.u.: -0.7
Calculated density, g cm⁻³: 8.8

Cell lengths 6.464, 11.231, 4.889 Å; angles 90.00, 90.00, 90.00 degrees
Space group Cmcm (No. 63)
Asymmetric unit:
Pm (0.000, 0.167, 0.250) x4
Ag (0.000, 0.348, 0.750) x4
Ag (0.229, 0.424, 0.250) x8



Record 3
# Pm3Ag

Pm3Ag after structural relaxation (GGA-PBE, Alexandria via LeMat-Bulk).

Output
Total magnetic moment, μB per atom: 0.00
ΔH_f (0 K), eV/f.u.: -0.3
Calculated density, g cm⁻³: 7.4
Polymorph energy (0 for the lowest one), eV/atom: 0.029

Cell lengths 12.493, 12.493, 6.244 Å; angles 90.00, 90.00, 90.00 degrees
Space group I-4 (No. 82)
Asymmetric unit:
Pm (0.031, 0.363, 0.478) x8
Pm (0.074, 0.886, 0.261) x8
Pm (0.181, 0.772, 0.748) x8
Ag (0.042, 0.295, 0.981) x8



Record 4
# PmAg6

PmAg6 after structural relaxation (GGA-PBE, Alexandria via LeMat-Bulk).

Output
Total magnetic moment, μB per atom: 0.00
ΔH_f (0 K), eV/f.u.: 4.0
Calculated density, g cm⁻³: 6.7
Polymorph energy (0 for the lowest one), eV/atom: 0.683

Cell lengths 7.339, 7.339, 7.339 Å; angles 90.00, 90.00, 90.00 degrees
Space group Im-3m (No. 229)
Asymmetric unit:
Pm (0.000, 0.000, 0.000) x2
Ag (0.000, 0.250, 0.500) x12